1.
This record from Alexandria describes an optimized crystal structure of CaPb2S3. The functional is GGA-PBE.

Lattice parameters (Å, degrees): 4.1687 5.9127 7.2659 114.01 106.67 90.00
Fractional positions:
Pb (0.3332, 0.8332, 0.6663)
Pb (0.6668, 0.1668, 0.3337)
S (0.0000, 0.0000, 0.0000)
S (0.3435, 0.3435, 0.6871)
S (0.6565, 0.6565, 0.3129)
Ca (0.0000, 0.5000, 0.0000)

Formation energy (no corrections), meV per atom: -1065
Total magnetization, μB per cell: 0.0
SG: Immm (71)

2.
This record from Alexandria describes an optimized crystal structure of CaPb2S. The functional is GGA-PBE.

Lattice parameters (Å, degrees): 9.9377 9.9377 7.5203 48.64 48.64 90.00
Fractional positions:
S (0.2500, 0.7500, 0.5000)
S (0.5000, 0.5000, 0.0000)
Ca (0.7500, 0.2500, 0.5000)
Ca (0.0000, 0.0000, 0.0000)
Pb (0.5281, 0.1250, 0.2500)
Pb (0.2219, 0.6250, 0.2500)
Pb (0.8750, 0.7781, 0.7500)
Pb (0.3750, 0.4719, 0.7500)

Formation energy (no corrections), meV per atom: -413
Total magnetization, μB per cell: 0.0
SG: I-42d (122)

3.
This record from Alexandria describes an optimized crystal structure of Ca4PbS5. The functional is GGA-PBE.

Lattice parameters (Å, degrees): 4.0771 7.0882 9.1494 75.14 77.13 73.29
Fractional positions:
S (0.0000, 0.5000, 0.5000)
S (0.7968, 0.0980, 0.3084)
S (0.6062, 0.6819, 0.1057)
S (0.3938, 0.3181, 0.8943)
S (0.2032, 0.9020, 0.6916)
Ca (0.4028, 0.7961, 0.3984)
Ca (0.7979, 0.6075, 0.7967)
Ca (0.5972, 0.2039, 0.6016)
Ca (0.2021, 0.3925, 0.2033)
Pb (0.0000, 0.0000, 0.0000)

Formation energy (no corrections), meV per atom: -1819
Total magnetization, μB per cell: 0.0
SG: C2/m (12)